# NaAcFeF6

A relaxed structure of NaAcFeF6 (PBE+U, the Alexandria database).

Lattice parameters (Å, degrees): 5.2851 5.2851 10.7493 90.00 90.00 90.00
Last column: nearest neighbours and their distance in Å.
Space group P4_2nm (No. 102)
One atom of each set of equivalent atoms:
Na 0.0000 0.0000 0.0000 (multiplicity 2)  6 F 2.32-2.45
Ac 0.0000 0.0000 0.6664 (multiplicity 2)  6 F 2.40-2.45
Fe 0.0000 0.0000 0.3330 (multiplicity 2)  6 F 2.06-2.16
F 0.1795 0.1795 0.1777 (multiplicity 4)  1 Fe 2.14, 1 Na 2.33, 1 Ac 2.40
F 0.1907 0.1907 0.4835 (multiplicity 4)  1 Fe 2.16, 1 Na 2.32
F 0.2240 0.2240 0.8330 (multiplicity 4)  1 Fe 2.06

Output
Final energy: -0.2102 Ha/atom
Crystal system: tetragonal
Spin magnetization: 4.0 μB/f.u.
D(E_F): 0.00 states/eV per atom